Ho3Ge5O12 | Alexandria | PBE | optimized geometry; ΔE_f (raw) = -42.35 eV per formula unit
1.0
11.075 0.000 0.000
-3.692 10.442 0.000
-3.692 -5.221 9.043
O Ge Ho
48 20 12
Cartesian
5.022 5.617 4.814
1.915 6.966 3.608
5.146 5.189 1.771
-3.176 4.824 4.814
-0.870 3.534 7.836
6.053 -0.853 2.064
-0.391 6.770 0.857
4.668 -0.722 5.379
2.237 3.671 0.857
-0.515 0.853 2.064
4.083 -1.550 8.185
4.561 8.033 2.458
-0.391 3.703 0.913
-0.070 3.476 3.608
6.868 0.397 4.228
-0.976 5.943 3.664
0.515 6.470 6.292
-1.776 -3.997 8.750
0.870 0.722 5.379
4.561 1.687 1.206
6.407 -3.534 7.836
7.774 5.253 1.771
8.359 2.409 2.458
-1.331 -0.397 4.228
3.761 1.745 5.435
-2.716 8.755 1.206
5.468 9.218 0.293
-3.761 3.997 8.750
4.083 1.517 8.129
1.455 -1.517 8.129
-2.361 6.074 6.979
1.455 1.550 8.185
2.361 1.250 2.751
2.822 4.498 3.664
-4.083 -0.032 7.272
2.237 6.738 0.913
1.776 -1.745 5.435
5.468 2.968 3.315
-1.455 0.032 7.272
-1.776 2.252 5.728
3.176 -1.250 2.751
-0.870 -2.812 6.585
7.314 -2.252 5.728
1.331 3.971 6.292
4.207 4.368 6.979
-4.668 2.812 6.585
-3.622 7.473 3.315
7.453 1.224 0.293
1.846 2.610 4.521
-0.923 2.610 2.261
-0.923 0.653 5.652
0.923 3.263 7.912
2.769 7.831 2.261
-3.692 2.610 4.521
0.923 -2.610 6.782
5.537 0.000 0.000
3.692 -2.610 4.521
3.692 5.221 0.000
-1.846 -2.610 4.521
0.000 0.000 0.000
-0.923 8.484 1.130
6.460 -0.653 5.652
-1.846 5.221 0.000
4.615 -3.263 7.912
4.615 2.610 6.782
2.769 1.958 1.130
4.615 4.568 3.391
-2.769 5.873 3.391
2.769 0.000 6.782
6.460 3.263 1.130
-0.923 4.568 5.652
4.615 0.653 3.391
6.460 7.179 1.130
-2.769 -1.958 7.912
-4.615 5.221 6.782
-2.769 1.958 7.912
0.923 5.221 2.261
2.769 5.873 5.652
0.923 -0.653 3.391
8.306 0.000 2.261